(1)
A relaxed ZnGaB crystal, computed with PBE-GGA.

Summary:
Space group   No. 1
Calculated volume   14.76 A^3/atom
Energy of formation   305 meV per atom
E_tot   -3.355 eV per atom

Cell lengths 3.595, 3.888, 7.349 Å; angles 102.03, 90.30, 117.44 degrees
Positions (direct):
Zn  0.000  0.000  0.000
Zn  0.098  0.193  0.435
Ga  0.369  0.739  0.232
Ga  0.448  0.897  0.690
B  0.132  0.265  0.733
B  0.299  0.600  0.938



(2)
A relaxed ZnGaB crystal, computed with PBE-GGA.

Summary:
Space group   No. 2
Calculated volume   14.57 A^3/atom
Energy of formation   287 meV per atom
E_tot   -3.372 eV per atom

Cell lengths 3.759, 4.026, 5.897 Å; angles 79.48, 85.09, 88.31 degrees
Positions (direct):
Zn  0.085  0.161  0.272
Zn  0.915  0.839  0.728
Ga  0.455  0.303  0.834
Ga  0.545  0.697  0.166
B  0.001  0.634  0.371
B  0.999  0.366  0.629



(3)
A relaxed ZnGaB crystal, computed with PBE-GGA.

Summary:
Space group   No. 129
Calculated volume   13.62 A^3/atom
Energy of formation   686 meV per atom
E_tot   -2.973 eV per atom

Cell lengths 3.922, 3.922, 5.314 Å; angles 90.00, 90.00, 90.00 degrees
Positions (direct):
Zn  0.250  0.250  0.236
Zn  0.750  0.750  0.764
Ga  0.250  0.250  0.767
Ga  0.750  0.750  0.233
B  0.250  0.750  0.500
B  0.750  0.250  0.500



(4)
A relaxed ZnGaB crystal, computed with PBE-GGA.

Summary:
Space group   No. 10
Calculated volume   15.58 A^3/atom
Energy of formation   308 meV per atom
E_tot   -3.352 eV per atom

Cell lengths 4.734, 3.706, 5.427 Å; angles 90.00, 100.95, 90.00 degrees
Positions (direct):
Zn  0.000  0.000  0.000
Zn  0.500  0.000  0.500
Ga  0.189  0.500  0.697
Ga  0.811  0.500  0.303
B  0.389  0.000  0.862
B  0.611  0.000  0.138



(5)
A relaxed ZnGaB crystal, computed with PBE-GGA.

Summary:
Space group   No. 6
Calculated volume   14.86 A^3/atom
Energy of formation   263 meV per atom
E_tot   -3.396 eV per atom

Cell lengths 4.627, 3.052, 6.586 Å; angles 90.00, 106.54, 90.00 degrees
Positions (direct):
Zn  0.000  0.000  0.000
Zn  0.229  0.500  0.371
Ga  0.507  0.000  0.684
Ga  0.748  0.000  0.359
B  0.407  0.500  0.078
B  0.490  0.000  0.009



(6)
A relaxed ZnGaB crystal, computed with PBE-GGA.

Summary:
Space group   No. 62
Calculated volume   15.76 A^3/atom
Energy of formation   308 meV per atom
E_tot   -3.351 eV per atom

Cell lengths 7.957, 3.142, 7.563 Å; angles 90.00, 90.00, 90.00 degrees
Positions (direct):
Zn  0.232  0.250  0.033
Zn  0.268  0.750  0.533
Zn  0.732  0.250  0.467
Zn  0.768  0.750  0.967
Ga  0.007  0.750  0.199
Ga  0.493  0.250  0.699
Ga  0.507  0.750  0.301
Ga  0.993  0.250  0.801
B  0.000  0.000  0.500
B  0.000  0.500  0.500
B  0.500  0.000  0.000
B  0.500  0.500  0.000



(7)
A relaxed ZnGaB crystal, computed with PBE-GGA.

Summary:
Space group   No. 1
Calculated volume   13.97 A^3/atom
Energy of formation   303 meV per atom
E_tot   -3.356 eV per atom

Cell lengths 3.483, 5.136, 5.461 Å; angles 67.15, 89.97, 70.30 degrees
Positions (direct):
Zn  0.000  0.000  0.000
Zn  0.271  0.461  0.348
Ga  0.055  0.892  0.530
Ga  0.731  0.537  0.956
B  0.329  0.343  0.794
B  0.477  0.046  0.711



(8)
A relaxed ZnGaB crystal, computed with PBE-GGA.

Summary:
Space group   No. 2
Calculated volume   14.02 A^3/atom
Energy of formation   295 meV per atom
E_tot   -3.364 eV per atom

Cell lengths 3.625, 5.057, 5.255 Å; angles 109.29, 90.18, 110.91 degrees
Positions (direct):
Zn  0.137  0.276  0.409
Zn  0.863  0.724  0.591
Ga  0.347  0.693  0.178
Ga  0.653  0.307  0.822
B  0.075  0.151  0.953
B  0.925  0.849  0.047



(9)
A relaxed ZnGaB crystal, computed with PBE-GGA.

Summary:
Space group   No. 1
Calculated volume   15.81 A^3/atom
Energy of formation   254 meV per atom
E_tot   -3.406 eV per atom

Cell lengths 3.031, 4.565, 6.948 Å; angles 80.73, 89.96, 89.99 degrees
Positions (direct):
Zn  0.000  0.000  0.000
Zn  0.500  0.257  0.261
Ga  0.996  0.543  0.722
Ga  0.999  0.078  0.556
B  0.000  0.490  0.043
B  0.500  0.630  0.010



(10)
A relaxed ZnGaB crystal, computed with PBE-GGA.

Summary:
Space group   No. 2
Calculated volume   15.12 A^3/atom
Energy of formation   296 meV per atom
E_tot   -3.363 eV per atom

Cell lengths 3.822, 5.204, 5.327 Å; angles 64.80, 73.77, 74.60 degrees
Positions (direct):
Zn  0.000  0.000  0.000
Zn  0.500  0.000  0.500
Ga  0.001  0.560  0.708
Ga  0.999  0.440  0.292
B  0.379  0.653  0.890
B  0.621  0.347  0.110



(11)
A relaxed ZnGaB crystal, computed with PBE-GGA.

Summary:
Space group   No. 129
Calculated volume   13.05 A^3/atom
Energy of formation   480 meV per atom
E_tot   -3.180 eV per atom

Cell lengths 2.776, 2.776, 10.156 Å; angles 90.00, 90.00, 90.00 degrees
Positions (direct):
Zn  0.250  0.250  0.093
Zn  0.750  0.750  0.907
Ga  0.250  0.250  0.694
Ga  0.750  0.750  0.306
B  0.250  0.750  0.500
B  0.750  0.250  0.500



(12)
A relaxed ZrGa2B crystal, computed with PBE-GGA.

Summary:
Space group   No. 122
Calculated volume   15.55 A^3/atom
Energy of formation   -63 meV per atom
E_tot   -5.383 eV per atom

Cell lengths 7.042, 7.042, 5.018 Å; angles 90.00, 90.00, 90.00 degrees
Positions (direct):
Zr  0.000  0.000  0.000
Zr  0.000  0.500  0.250
Zr  0.500  0.000  0.750
Zr  0.500  0.500  0.500
Ga  0.172  0.250  0.625
Ga  0.250  0.672  0.875
Ga  0.250  0.828  0.375
Ga  0.328  0.250  0.125
Ga  0.672  0.750  0.125
Ga  0.750  0.172  0.375
Ga  0.750  0.328  0.875
Ga  0.828  0.750  0.625
B  0.000  0.000  0.500
B  0.000  0.500  0.750
B  0.500  0.000  0.250
B  0.500  0.500  0.000



(13)
A relaxed Zr3GaB crystal, computed with PBE-GGA.

Summary:
Space group   No. 221
Calculated volume   19.55 A^3/atom
Energy of formation   -381 meV per atom
E_tot   -7.451 eV per atom

Cell lengths 4.607, 4.607, 4.607 Å; angles 90.00, 90.00, 90.00 degrees
Positions (direct):
Zr  0.000  0.000  0.500
Zr  0.000  0.500  0.000
Zr  0.500  0.000  0.000
Ga  0.500  0.500  0.500
B  0.000  0.000  0.000



(14)
A relaxed ZrGaB crystal, computed with PBE-GGA.

Summary:
Space group   No. 12
Calculated volume   15.47 A^3/atom
Energy of formation   -415 meV per atom
E_tot   -6.499 eV per atom

Cell lengths 8.340, 3.592, 6.308 Å; angles 90.00, 100.81, 90.00 degrees
Positions (direct):
Zr  0.117  0.000  0.328
Zr  0.383  0.500  0.672
Zr  0.617  0.500  0.328
Zr  0.883  0.000  0.672
Ga  0.133  0.500  0.932
Ga  0.367  0.000  0.068
Ga  0.633  0.000  0.932
Ga  0.867  0.500  0.068
B  0.089  0.500  0.583
B  0.411  0.000  0.417
B  0.589  0.000  0.583
B  0.911  0.500  0.417



(15)
A relaxed GdB crystal, computed with PBE-GGA.

Summary:
Space group   No. 63
Calculated volume   18.97 A^3/atom
Energy of formation   -377 meV per atom
E_tot   -10.756 eV per atom

Cell lengths 3.594, 13.290, 3.177 Å; angles 90.00, 90.00, 90.00 degrees
Positions (direct):
Gd  0.000  0.125  0.250
Gd  0.000  0.875  0.750
Gd  0.500  0.375  0.750
Gd  0.500  0.625  0.250
B  0.000  0.479  0.250
B  0.000  0.521  0.750
B  0.500  0.021  0.750
B  0.500  0.979  0.250



(16)
A relaxed GdB12 crystal, computed with PBE-GGA.

Summary:
Space group   No. 225
Calculated volume   8.16 A^3/atom
Energy of formation   -235 meV per atom
E_tot   -7.482 eV per atom

Cell lengths 5.313, 5.313, 5.313 Å; angles 60.00, 60.00, 60.00 degrees
Positions (direct):
Gd  0.000  0.000  0.000
B  0.163  0.500  0.500
B  0.163  0.500  0.837
B  0.163  0.837  0.500
B  0.500  0.163  0.500
B  0.500  0.163  0.837
B  0.500  0.500  0.163
B  0.500  0.500  0.837
B  0.500  0.837  0.163
B  0.500  0.837  0.500
B  0.837  0.163  0.500
B  0.837  0.500  0.163
B  0.837  0.500  0.500



(17)
A relaxed Gd2B5 crystal, computed with PBE-GGA.

Summary:
Space group   No. 14
Calculated volume   12.81 A^3/atom
Energy of formation   -581 meV per atom
E_tot   -9.374 eV per atom

Cell lengths 7.154, 7.152, 7.178 Å; angles 90.00, 102.38, 90.00 degrees
Positions (direct):
Gd  0.234  0.192  0.131
Gd  0.234  0.308  0.631
Gd  0.241  0.685  0.255
Gd  0.241  0.815  0.755
Gd  0.759  0.185  0.245
Gd  0.759  0.315  0.745
Gd  0.766  0.692  0.369
Gd  0.766  0.808  0.869
B  0.077  0.507  0.929
B  0.077  0.993  0.429
B  0.315  0.502  0.962
B  0.315  0.998  0.462
B  0.497  0.538  0.826
B  0.497  0.962  0.326
B  0.498  0.174  0.460
B  0.498  0.326  0.960
B  0.499  0.589  0.589
B  0.499  0.911  0.089
B  0.501  0.089  0.911
B  0.501  0.411  0.411
B  0.502  0.674  0.040
B  0.502  0.826  0.540
B  0.503  0.038  0.674
B  0.503  0.462  0.174
B  0.685  0.002  0.538
B  0.685  0.498  0.038
B  0.923  0.007  0.571
B  0.923  0.493  0.071



(18)
A relaxed Gd2GeB2O8 crystal, computed with PBE-GGA.

Summary:
Uncorrected formation energy   -2.7451 eV per atom
Space group   No. 60
Calculated volume   11.04 A^3/atom
E_tot   -9.345 eV per atom

Cell lengths 13.614, 4.456, 9.466 Å; angles 90.00, 90.00, 90.00 degrees
Positions (direct):
Gd  0.140  0.043  0.026
Gd  0.140  0.957  0.526
Gd  0.360  0.457  0.526
Gd  0.360  0.543  0.026
Gd  0.640  0.457  0.974
Gd  0.640  0.543  0.474
Gd  0.860  0.043  0.474
Gd  0.860  0.957  0.974
Ge  0.000  0.420  0.750
Ge  0.000  0.580  0.250
Ge  0.500  0.080  0.250
Ge  0.500  0.920  0.750
B  0.200  0.470  0.295
B  0.200  0.530  0.795
B  0.300  0.030  0.795
B  0.300  0.970  0.295
B  0.700  0.030  0.705
B  0.700  0.970  0.205
B  0.800  0.470  0.205
B  0.800  0.530  0.705
O  0.005  0.199  0.902
O  0.005  0.801  0.402
O  0.107  0.346  0.231
O  0.107  0.654  0.731
O  0.192  0.462  0.448
O  0.192  0.538  0.948
O  0.216  0.218  0.740
O  0.216  0.782  0.240
O  0.284  0.282  0.240
O  0.284  0.718  0.740
O  0.308  0.038  0.948
O  0.308  0.962  0.448
O  0.393  0.154  0.731
O  0.393  0.846  0.231
O  0.495  0.301  0.402
O  0.495  0.699  0.902
O  0.505  0.301  0.098
O  0.505  0.699  0.598
O  0.607  0.154  0.769
O  0.607  0.846  0.269
O  0.692  0.038  0.552
O  0.692  0.962  0.052
O  0.716  0.282  0.260
O  0.716  0.718  0.760
O  0.784  0.218  0.760
O  0.784  0.782  0.260
O  0.808  0.462  0.052
O  0.808  0.538  0.552
O  0.893  0.346  0.269
O  0.893  0.654  0.769
O  0.995  0.199  0.598
O  0.995  0.801  0.098



(19)
A relaxed GdBH crystal, computed with PBE-GGA.

Summary:
Space group   No. 62
Calculated volume   12.69 A^3/atom
E_tot   -8.455 eV per atom

Cell lengths 6.735, 3.174, 7.124 Å; angles 90.00, 90.00, 90.00 degrees
Positions (direct):
Gd  0.182  0.250  0.181
Gd  0.318  0.750  0.681
Gd  0.682  0.250  0.319
Gd  0.818  0.750  0.819
B  0.015  0.250  0.521
B  0.485  0.750  0.021
B  0.515  0.250  0.979
B  0.985  0.750  0.479
H  0.070  0.250  0.875
H  0.430  0.750  0.375
H  0.570  0.250  0.625
H  0.930  0.750  0.125



(20)
A relaxed GdB2H6 crystal, computed with PBE-GGA.

Summary:
Space group   No. 225
Calculated volume   7.38 A^3/atom
E_tot   -4.036 eV per atom

Cell lengths 4.546, 4.546, 4.546 Å; angles 60.00, 60.00, 60.00 degrees
Positions (direct):
Gd  0.000  0.000  0.000
B  0.250  0.250  0.250
B  0.750  0.750  0.750
H  0.356  0.356  0.644
H  0.356  0.644  0.356
H  0.356  0.644  0.644
H  0.644  0.356  0.356
H  0.644  0.356  0.644
H  0.644  0.644  0.356



(21)
A relaxed GdBH2 crystal, computed with PBE-GGA.

Summary:
Space group   No. 166
Calculated volume   9.42 A^3/atom
E_tot   -6.779 eV per atom

Cell lengths 3.666, 3.666, 9.710 Å; angles 90.00, 90.00, 120.00 degrees
Positions (direct):
Gd  0.000  0.000  0.000
Gd  0.333  0.667  0.667
Gd  0.667  0.333  0.333
B  0.000  0.000  0.500
B  0.333  0.667  0.167
B  0.667  0.333  0.833
H  0.000  0.000  0.233
H  0.000  0.000  0.767
H  0.333  0.667  0.433
H  0.333  0.667  0.900
H  0.667  0.333  0.100
H  0.667  0.333  0.567



(22)
A relaxed Gd2BI crystal, computed with PBE-GGA.

Summary:
Uncorrected formation energy   -0.5977 eV per atom
Space group   No. 166
Calculated volume   26.15 A^3/atom
E_tot   -9.695 eV per atom

Cell lengths 3.999, 3.999, 22.657 Å; angles 90.00, 90.00, 120.00 degrees
Positions (direct):
Gd  0.000  0.000  0.225
Gd  0.000  0.000  0.775
Gd  0.333  0.667  0.442
Gd  0.333  0.667  0.891
Gd  0.667  0.333  0.109
Gd  0.667  0.333  0.558
B  0.000  0.000  0.500
B  0.333  0.667  0.167
B  0.667  0.333  0.833
I  0.000  0.000  0.000
I  0.333  0.667  0.667
I  0.667  0.333  0.333



(23)
A relaxed GdBIr crystal, computed with PBE-GGA.

Summary:
Space group   No. 107
Calculated volume   15.24 A^3/atom
Energy of formation   -254 meV per atom
E_tot   -10.128 eV per atom

Cell lengths 2.948, 2.948, 10.521 Å; angles 90.00, 90.00, 90.00 degrees
Positions (direct):
Gd  0.000  0.000  0.000
Gd  0.500  0.500  0.500
B  0.000  0.000  0.693
B  0.500  0.500  0.193
Ir  0.000  0.000  0.277
Ir  0.500  0.500  0.777